## TlOsPt2 (GGA-PBE)

Data for TlOsPt2 after structural relaxation.

The structure in POSCAR format:
```
TlOsPt2
1.0
2.7945 0.0000 0.0000
0.0000 3.6396 0.0000
0.0000 0.0000 7.0093
Tl Os Pt
1 1 2
Cartesian
0.0000 0.0000 0.0000
0.0000 0.0000 3.5046
1.3972 1.8198 2.0496
1.3972 1.8198 4.9597
```

Its polymorph energy (0 for the lowest one) is 37 meV per atom. The calculation puts the formation energy at 0.35 eV/atom.